# Mg2SnGeO

A PBEsol-optimized structure of Mg2SnGeO (meta-GGA SCAN, the Alexandria database).

Cell: 4.827 4.827 5.302 Å, 90.00 90.00 90.00°
Fractional positions:
1 Mg 0.000 0.500 0.000
2 Mg 0.500 0.000 0.000
3 Sn 0.000 0.000 0.500
4 Ge 0.000 0.000 0.000
5 O 0.500 0.500 0.500

Calculated values
- ΔE_f (raw): 431 meV per atom
- Calculated volume: 123.56 Å³/cell
- Calculated density: 3.44 Mg/m³
- VASP energy: -13.81 eV/atom
- Total magnetization: 0.00 μB per cell

# Al2CdHg

A PBEsol-optimized structure of Al2CdHg (meta-GGA SCAN, the Alexandria database).

Cell: 4.216 4.216 4.339 Å, 90.00 90.00 90.00°
Fractional positions:
1 Al 0.000 0.500 0.000
2 Al 0.500 0.000 0.000
3 Cd 0.000 0.000 0.500
4 Hg 0.500 0.500 0.500

Calculated values
- Calculated volume: 77.12 Å³/cell
- Relative energy among the computed polymorphs: 0 meV per atom
- Calculated density: 7.90 Mg/m³
- Energy of formation from the pure elements: 140.7 meV/atom
- VASP energy: -28.38 eV/atom
- Total magnetization: 0.00 μB per cell

# ZnRu2Au

A PBEsol-optimized structure of ZnRu2Au (meta-GGA SCAN, the Alexandria database).

Cell: 2.764 4.477 4.650 Å, 90.00 90.00 90.00°
Fractional positions:
1 Zn 0.000 0.000 0.000
2 Ru 0.000 0.500 0.500
3 Ru 0.500 0.000 0.500
4 Au 0.500 0.500 0.000

Calculated values
- Calculated volume: 57.53 Å³/cell
- Calculated density: 13.41 Mg/m³
- Energy of formation from the pure elements: 276.6 meV/atom
- VASP energy: -37.80 eV/atom
- Total magnetization: 2.11 μB per cell

calculated density of number 2 (Al2CdHg)? 7.90 Mg/m³